First-principles (PBE-GGA) data for a relaxed Ti2BeSi crystal, as listed in the Alexandria database.

a = 3.818 Å, b = 3.818 Å, c = 3.739 Å
α = 90.00°, β = 90.00°, γ = 90.00°
Fractional positions:
Ti: 0.000 0.500 0.000
Ti: 0.500 0.000 0.000
Be: 0.000 0.000 0.500
Si: 0.500 0.500 0.500

Excess energy over the best structure of this formula in the dataset: 0.1226 eV/atom
Energy: -6.638 eV/atom
Space group: P4/mmm, No. 123
M_tot: 0.00 μB/atom
Formation energy (no corrections): -403 meV/atom
Volume: 54.5 Å³/f.u.

=====

First-principles (PBE-GGA) data for a relaxed K2CuSb crystal, as listed in the Alexandria database.

a = 3.944 Å, b = 5.160 Å, c = 6.033 Å
α = 90.00°, β = 92.93°, γ = 90.00°
Fractional positions:
K: 0.037 0.000 0.251
K: 0.963 0.000 0.749
Cu: 0.500 0.500 0.500
Sb: 0.500 0.500 0.000

Energy: -2.492 eV/atom
Space group: P2/m, No. 10
M_tot: 0.00 μB/atom
Formation energy (no corrections): 111 meV/atom
Volume: 122.6 Å³/f.u.

=====

First-principles (PBE-GGA) data for a relaxed Tm3Mg2Cu3 crystal, as listed in the Alexandria database.

a = 8.206 Å, b = 8.206 Å, c = 5.638 Å
α = 90.00°, β = 90.00°, γ = 120.00°
Fractional positions:
Tm: 0.000 0.258 0.250
Tm: 0.000 0.742 0.750
Tm: 0.258 0.000 0.250
Tm: 0.258 0.258 0.750
Tm: 0.742 0.000 0.750
Tm: 0.742 0.742 0.250
Mg: 0.333 0.667 0.000
Mg: 0.333 0.667 0.500
Mg: 0.667 0.333 0.000
Mg: 0.667 0.333 0.500
Cu: 0.000 0.396 0.750
Cu: 0.000 0.604 0.250
Cu: 0.396 0.000 0.750
Cu: 0.396 0.396 0.250
Cu: 0.604 0.000 0.250
Cu: 0.604 0.604 0.750

Excess energy over the best structure of this formula in the dataset: 0.0000 eV/atom
Energy: -3.839 eV/atom
Space group: P6_3/mcm, No. 193
M_tot: 0.00 μB/atom
Volume: 164.4 Å³/f.u.

=====

First-principles (PBE-GGA) data for a relaxed Br2Cl crystal, as listed in the Alexandria database.

a = 5.791 Å, b = 5.878 Å, c = 8.731 Å
α = 81.98°, β = 78.71°, γ = 75.60°
Fractional positions:
Br: 0.091 0.135 0.207
Br: 0.304 0.585 0.723
Br: 0.696 0.415 0.277
Br: 0.909 0.865 0.793
Cl: 0.356 0.736 0.209
Cl: 0.644 0.264 0.791

Excess energy over the best structure of this formula in the dataset: 0.0400 eV/atom
Energy: -1.646 eV/atom
Space group: P-1, No. 2
M_tot: 0.00 μB/atom
Formation energy (no corrections): 85 meV/atom
Volume: 140.5 Å³/f.u.

=====

Question: energy of number 1 (Ti2BeSi)?
Answer: -6.638 eV/atom

=====

Question: Which value of M_tot does entry 3 give?
Answer: 0.00 μB/atom

=====

Question: The lowest energy belongs to which entry?
Answer: Ti2BeSi

=====

Question: Which value of volume does entry 3 give?
Answer: 164.4 Å³/f.u.